one | Sr2ZrRh PBEsol relaxed; DOS(E_F) = 4.5 states/eV/f.u.; magnetization = 0.00 μB per cell
1.0
0.000 3.654 3.654
3.654 0.000 3.654
3.654 3.654 0.000
Sr Zr Rh
2 1 1
Cartesian
0.000 0.000 0.000
1.827 1.827 1.827
3.654 3.654 3.654
5.482 5.482 5.482


two | Sr2ZrRh PBEsol relaxed; DOS(E_F) = 3.8 states/eV/f.u.; magnetization = 0.00 μB per cell
1.0
3.352 0.000 0.000
0.000 4.904 0.000
0.000 0.000 6.114
Sr Zr Rh
2 1 1
Cartesian
0.000 0.000 1.430
0.000 0.000 4.684
1.676 2.452 3.057
1.676 2.452 0.000


one comes first in stability; the runner-up is 5.6 kJ/mol of atoms higher.


one | Ta4Rh3 PBEsol relaxed; DOS(E_F) = 5.6 states/eV/f.u.; magnetization = 0.00 μB per cell
1.0
-1.612 1.612 10.770
1.612 -1.612 10.770
1.612 1.612 -10.770
Ta Rh
4 3
Cartesian
0.000 0.000 1.544
0.000 0.000 7.480
0.000 0.000 14.061
0.000 0.000 19.997
0.000 0.000 4.539
0.000 0.000 10.770
0.000 0.000 17.002


two | Ta4Rh3 PBEsol relaxed; DOS(E_F) = 5.9 states/eV/f.u.; magnetization = 0.00 μB per cell
1.0
5.103 0.000 0.000
-2.552 4.419 0.000
0.000 0.000 4.928
Ta Rh
4 3
Cartesian
0.000 0.000 1.223
0.000 0.000 3.705
0.000 2.946 0.000
2.552 1.473 0.000
-1.276 2.210 2.464
2.552 0.000 2.464
1.276 2.210 2.464


two comes first in stability; the runner-up is 4.0 kJ/mol of atoms higher.


one | TaTcRh PBEsol relaxed; DOS(E_F) = 3.2 states/eV/f.u.; magnetization = 0.00 μB per cell
1.0
2.754 0.000 0.000
-1.377 2.385 0.000
0.000 0.000 6.863
Ta Tc Rh
1 1 1
Cartesian
0.000 0.000 0.000
0.000 1.590 4.448
1.377 0.795 2.283


two | TaTcRh PBEsol relaxed; DOS(E_F) = 2.7 states/eV/f.u.; magnetization = 0.00 μB per cell
1.0
4.401 0.000 0.000
-2.200 3.811 0.000
0.000 0.000 2.699
Ta Tc Rh
1 1 1
Cartesian
0.000 0.000 0.000
0.000 2.541 1.349
2.200 1.270 0.000


two comes first in stability; the runner-up is 7.5 kJ/mol of atoms higher.


one | Y2TaRh PBEsol relaxed; DOS(E_F) = 4.1 states/eV/f.u.; magnetization = 0.00 μB per cell
1.0
3.307 0.000 0.000
0.000 3.307 0.000
0.000 0.000 7.698
Y Ta Rh
2 1 1
Cartesian
0.000 0.000 1.708
0.000 0.000 5.990
1.653 1.653 3.849
1.653 1.653 0.000


two | Y2TaRh PBEsol relaxed; DOS(E_F) = 4.3 states/eV/f.u.; magnetization = 2.88 μB per cell
1.0
-2.468 2.468 3.483
2.468 -2.468 3.483
2.468 2.468 -3.483
Y Ta Rh
2 1 1
Cartesian
2.468 0.000 1.741
0.000 2.468 1.741
0.000 0.000 0.000
0.000 0.000 3.483


one comes first in stability; the runner-up is 24.8 kJ/mol of atoms higher.


one | YTa2Rh PBEsol relaxed; DOS(E_F) = 4.1 states/eV/f.u.; magnetization = 0.00 μB per cell
1.0
3.252 0.000 0.000
0.000 4.493 0.000
0.000 0.000 5.011
Y Ta Rh
1 2 1
Cartesian
0.000 0.000 0.000
0.000 2.246 2.506
1.626 0.000 2.506
1.626 2.246 0.000


two | YTa2Rh PBEsol relaxed; DOS(E_F) = 4.3 states/eV/f.u.; magnetization = 0.00 μB per cell
1.0
0.000 3.272 3.272
3.272 0.000 3.272
3.272 3.272 0.000
Y Ta Rh
1 2 1
Cartesian
0.000 0.000 0.000
1.636 1.636 1.636
4.908 4.908 4.908
3.272 3.272 3.272


three | YTa2Rh PBEsol relaxed; DOS(E_F) = 2.6 states/eV/f.u.; magnetization = 0.00 μB per cell
1.0
4.995 -1.517 0.000
4.995 1.517 0.000
-1.655 0.000 5.036
Y Ta Rh
1 2 1
Cartesian
0.000 0.000 0.000
4.430 0.000 2.637
7.322 0.000 1.704
1.213 0.000 3.778


one comes first in stability; the runner-up is 9.0 kJ/mol of atoms higher.


one | YTaRh PBEsol relaxed; DOS(E_F) = 3.6 states/eV/f.u.; magnetization = 0.01 μB per cell
1.0
0.000 3.155 3.155
3.155 0.000 3.155
3.155 3.155 0.000
Y Ta Rh
1 1 1
Cartesian
0.000 0.000 0.000
4.733 4.733 4.733
1.578 1.578 1.578


two | YTaRh PBEsol relaxed; DOS(E_F) = 3.3 states/eV/f.u.; magnetization = 0.00 μB per cell
1.0
0.000 3.189 3.189
3.189 0.000 3.189
3.189 3.189 0.000
Y Ta Rh
1 1 1
Cartesian
0.000 0.000 0.000
3.189 3.189 3.189
1.595 1.595 1.595


two comes first in stability; the runner-up is 105.1 kJ/mol of atoms higher.


one | Zr2TaRh PBEsol relaxed; DOS(E_F) = 3.7 states/eV/f.u.; magnetization = 0.00 μB per cell
1.0
3.209 0.000 0.000
0.000 3.209 0.000
0.000 0.000 7.192
Zr Ta Rh
2 1 1
Cartesian
0.000 0.000 0.000
1.604 1.604 2.071
1.604 1.604 5.270
0.000 0.000 3.797


two | Zr2TaRh PBEsol relaxed; DOS(E_F) = 3.9 states/eV/f.u.; magnetization = 0.00 μB per cell
1.0
3.277 0.000 0.000
0.000 3.277 0.000
0.000 0.000 6.825
Zr Ta Rh
2 1 1
Cartesian
0.000 0.000 1.611
0.000 0.000 5.214
1.639 1.639 3.412
1.639 1.639 0.000


two comes first in stability; the runner-up is 8.3 kJ/mol of atoms higher.


one | Tc3Rh PBEsol relaxed; DOS(E_F) = 3.6 states/eV/f.u.; magnetization = 0.00 μB per cell
1.0
2.712 0.000 0.000
-1.356 2.349 0.000
0.000 0.000 8.655
Tc Rh
3 1
Cartesian
0.000 0.000 0.000
1.356 0.783 2.167
1.356 0.783 6.488
0.000 0.000 4.328


two | Tc3Rh PBEsol relaxed; DOS(E_F) = 4.1 states/eV/f.u.; magnetization = 0.00 μB per cell
1.0
5.420 0.000 0.000
-2.710 4.694 0.000
0.000 0.000 8.655
Tc Rh
12 4
Cartesian
-1.355 2.347 0.000
-1.355 2.347 4.327
0.000 1.599 2.164
-1.325 3.895 2.164
1.385 0.800 6.491
2.710 0.000 0.000
2.710 0.000 4.327
1.355 2.347 0.000
1.355 2.347 4.327
1.325 3.895 2.164
4.035 0.800 6.491
2.710 3.095 6.491
0.000 0.000 0.000
0.000 0.000 4.327
0.000 3.129 6.491
2.710 1.565 2.164


two comes first in stability; the runner-up is 2.4 kJ/mol of atoms higher.